[1]
Material: LaPr3Cd6
Method: DFT, PBE
State: optimized geometry

abc: 9.574 5.338 11.475
angles: 90.00 106.54 90.00
Space group P2_1/m (No. 11)
Unique sites:
La1 0.055 0.250 0.390 [2 per cell]
Pr1 0.233 0.250 0.003 [2 per cell]
Pr2 0.351 0.750 0.787 [2 per cell]
Pr3 0.476 0.250 0.612 [2 per cell]
Cd1 0.055 0.750 0.902 [2 per cell]
Cd2 0.144 0.750 0.192 [2 per cell]
Cd3 0.149 0.250 0.701 [2 per cell]
Cd4 0.244 0.750 0.490 [2 per cell]
Cd5 0.337 0.250 0.294 [2 per cell]
Cd6 0.453 0.750 0.088 [2 per cell]

- crystal system = monoclinic
- formation energy (eV/atom) = -0.295
- uncorrected energy (eV per formula unit) = -27.71

***

[2]
Material: La2Pr6Cd
Method: DFT, PBE
State: optimized geometry

abc: 21.342 9.344 6.557
angles: 90.00 107.72 90.00
Space group C2/c (No. 15)
Unique sites:
La1 0.250 0.080 0.072 [8 per cell]
Pr1 0.077 0.074 0.707 [8 per cell]
Pr2 0.077 0.426 0.948 [8 per cell]
Pr3 0.166 0.250 0.416 [8 per cell]
Cd1 0.000 0.249 0.250 [4 per cell]

- energy above the most stable polymorph in this dataset (eV per formula unit) = 0.00
- crystal system = monoclinic
- formation energy (eV/atom) = 0.002
- uncorrected energy (eV per formula unit) = -39.43

***

[3]
Material: La15Pr4Cd
Method: DFT, PBE
State: optimized geometry

abc: 5.224 5.224 26.236
angles: 90.00 90.00 90.00
Space group P4/mmm (No. 123)
Unique sites:
La1 0.000 0.000 0.000 [1 per cell]
La2 0.000 0.000 0.197 [2 per cell]
La3 0.000 0.000 0.399 [2 per cell]
La4 0.000 0.500 0.096 [4 per cell]
La5 0.000 0.500 0.297 [4 per cell]
La6 0.000 0.500 0.500 [2 per cell]
Pr1 0.500 0.500 0.196 [2 per cell]
Pr2 0.500 0.500 0.399 [2 per cell]
Cd1 0.500 0.500 0.000 [1 per cell]

- crystal system = tetragonal
- formation energy (eV/atom) = -0.018
- uncorrected energy (eV per formula unit) = -94.31

***

[4]
Material: La2Pr8Cd
Method: DFT, PBE
State: optimized geometry

abc: 18.335 6.851 6.408
angles: 90.00 105.58 90.00
Space group C2/m (No. 12)
Unique sites:
La1 0.232 0.000 0.390 [4 per cell]
Pr1 0.084 0.265 0.436 [8 per cell]
Pr2 0.088 0.000 0.920 [4 per cell]
Pr3 0.189 0.500 0.046 [4 per cell]
Cd1 0.000 0.500 0.000 [2 per cell]

- energy above the most stable polymorph in this dataset (eV per formula unit) = 0.59
- crystal system = monoclinic
- formation energy (eV/atom) = 0.094
- uncorrected energy (eV per formula unit) = -47.97

***

| no. | N(E_F) (states/eV/f.u.) |
| --- | --- |
| 1 | 8.7 |
| 2 | 11.6 |
| 3 | 30.7 |
| 4 | 15.8 |